Record 1
The following is a PBE calculation of a relaxed structure of SmPuZnN3, from Alexandria.

a b c (Å): 7.2115 3.4386 7.2863
angles (deg): 90.00 98.46 90.00
Closest atoms and distances in Å follow each position.
Fractional positions:
1 Sm 0.1734 0.2500 0.2020  5 N 2.43-2.64
2 Sm 0.8266 0.7500 0.7980  5 N 2.43-2.64
3 Pu 0.3523 0.7500 0.8284  5 N 2.20-2.37
4 Pu 0.6477 0.2500 0.1716  5 N 2.20-2.37
5 Zn 0.1025 0.2500 0.5889  4 N 1.99-2.16
6 Zn 0.8975 0.7500 0.4111  4 N 1.99-2.16
7 N 0.1351 0.2500 0.8654  1 Zn 1.99
8 N 0.1993 0.7500 0.4804  3 Zn 2.06-2.16
9 N 0.4208 0.7500 0.1332  3 Pu 2.20-2.36
10 N 0.5792 0.2500 0.8668  3 Pu 2.20-2.36
11 N 0.8007 0.2500 0.5196  3 Zn 2.06-2.16
12 N 0.8649 0.7500 0.1346  1 Zn 1.99

## Properties
Its crystal system is monoclinic. The value obtained for the uncorrected formation energy is -0.798 eV per atom. The volume is 179 Å³/cell.


Record 2
The following is a PBE calculation of a relaxed structure of Hg2RuRh, from Alexandria.

a b c (Å): 3.0183 4.9443 9.4508
angles (deg): 90.00 90.00 90.00
Closest atoms and distances in Å follow each position.
Fractional positions:
1 Hg 0.0000 0.0000 0.2478  2 Rh 2.79, 2 Ru 2.82, 6 Hg 2.90-3.02
2 Hg 0.0000 0.0000 0.7522  2 Rh 2.79, 2 Ru 2.82, 6 Hg 2.90-3.02
3 Hg 0.5000 0.5000 0.2478  2 Rh 2.79, 2 Ru 2.82, 6 Hg 2.90-3.02
4 Hg 0.5000 0.5000 0.7522  2 Rh 2.79, 2 Ru 2.82, 6 Hg 2.90-3.02
5 Ru 0.0000 0.5000 0.5000  4 Hg 2.82, 6 Ru 2.90-3.02
6 Ru 0.5000 0.0000 0.5000  4 Hg 2.82, 6 Ru 2.90-3.02
7 Rh 0.0000 0.5000 0.0000  4 Hg 2.79, 6 Rh 2.90-3.02
8 Rh 0.5000 0.0000 0.0000  4 Hg 2.79, 6 Rh 2.90-3.02

## Properties
Its crystal system is orthorhombic. The formation energy is 0.52 eV per atom. The volume is 141 Å³/cell. Its energy above the most stable polymorph in this dataset is 24.9 kJ/mol of atoms.


Record 3
The following is a PBE calculation of a relaxed structure of Ce2TlAu, from Alexandria.

a b c (Å): 3.4466 3.4466 8.8892
angles (deg): 90.00 90.00 90.00
Closest atoms and distances in Å follow each position.
Fractional positions:
1 Ce 0.0000 0.0000 0.2290  4 Au 3.18, 4 Tl 3.43, 4 Ce 3.45
2 Ce 0.0000 0.0000 0.7710  4 Au 3.18, 4 Tl 3.43, 4 Ce 3.45
3 Tl 0.5000 0.5000 0.5000  8 Ce 3.43, 4 Tl 3.45
4 Au 0.5000 0.5000 0.0000  8 Ce 3.18, 4 Au 3.45

## Properties
Its crystal system is tetragonal. The formation energy is -0.42 eV per atom. The volume is 106 Å³/cell.


Record 4
The following is a PBE calculation of a relaxed structure of YNi2RuS, from Alexandria.

a b c (Å): 4.6863 4.6863 4.9824
angles (deg): 90.00 90.00 90.00
Closest atoms and distances in Å follow each position.
Fractional positions:
1 Y 0.0000 0.0000 0.0000  4 Ni 2.34, 2 S 2.49
2 Ni 0.0000 0.5000 0.0000  2 Y 2.34
3 Ni 0.5000 0.0000 0.0000  2 Y 2.34
4 Ru 0.5000 0.5000 0.5000  4 S 3.31, 8 Ni 3.42
5 S 0.0000 0.0000 0.5000  2 Y 2.49

## Properties
Its crystal system is tetragonal. The value obtained for the uncorrected formation energy is 1.340 eV per atom. The volume is 109 Å³/cell.


Record 5
The following is a PBE calculation of a relaxed structure of LaFe2Os, from Alexandria.

a b c (Å): 6.4700 6.4700 6.4700
angles (deg): 90.00 90.00 90.00
Closest atoms and distances in Å follow each position.
Fractional positions:
1 La 0.0000 0.0000 0.0000  4 Fe 2.80, 4 Os 2.80
2 La 0.0000 0.5000 0.5000  4 Fe 2.80, 4 Os 2.80
3 La 0.5000 0.0000 0.5000  4 Fe 2.80, 4 Os 2.80
4 La 0.5000 0.5000 0.0000  4 Fe 2.80, 4 Os 2.80
5 Fe 0.0000 0.0000 0.5000  4 Fe 2.80, 4 Os 2.80
6 Fe 0.0000 0.5000 0.0000  4 Fe 2.80, 4 Os 2.80
7 Fe 0.2500 0.2500 0.2500  4 La 2.80, 4 Fe 2.80
8 Fe 0.2500 0.7500 0.7500  4 La 2.80, 4 Fe 2.80
9 Fe 0.5000 0.0000 0.0000  4 Fe 2.80, 4 Os 2.80
10 Fe 0.5000 0.5000 0.5000  4 Fe 2.80, 4 Os 2.80
11 Fe 0.7500 0.2500 0.7500  4 La 2.80, 4 Fe 2.80
12 Fe 0.7500 0.7500 0.2500  4 La 2.80, 4 Fe 2.80
13 Os 0.2500 0.2500 0.7500  4 La 2.80, 4 Fe 2.80
14 Os 0.2500 0.7500 0.2500  4 La 2.80, 4 Fe 2.80
15 Os 0.7500 0.2500 0.2500  4 La 2.80, 4 Fe 2.80
16 Os 0.7500 0.7500 0.7500  4 La 2.80, 4 Fe 2.80

## Properties
Its crystal system is cubic. The formation energy is 0.54 eV per atom. The volume is 271 Å³/cell. Its energy above the most stable polymorph in this dataset is 43.5 kJ/mol of atoms.


Record 6
The following is a PBE calculation of a relaxed structure of ReAg2As, from Alexandria.

a b c (Å): 3.8135 3.8135 4.6345
angles (deg): 90.00 90.00 90.00
Closest atoms and distances in Å follow each position.
Fractional positions:
1 Re 0.0000 0.0000 0.0000  4 As 2.70, 8 Ag 3.00
2 Ag 0.0000 0.5000 0.5000  4 Ag 2.70, 4 As 3.00, 4 Re 3.00
3 Ag 0.5000 0.0000 0.5000  4 Ag 2.70, 4 As 3.00, 4 Re 3.00
4 As 0.5000 0.5000 0.0000  4 Re 2.70, 8 Ag 3.00

## Properties
Its crystal system is tetragonal. The formation energy is 0.69 eV per atom. The volume is 67 Å³/cell.


Record 7
The following is a PBE calculation of a relaxed structure of DyErSn, from Alexandria.

a b c (Å): 4.5482 4.5482 16.5870
angles (deg): 90.00 90.00 90.00
Closest atoms and distances in Å follow each position.
Fractional positions:
1 Dy 0.0000 0.0000 0.1754  5 Sn 3.12-3.28
2 Dy 0.0000 0.0000 0.8246  5 Sn 3.12-3.28
3 Dy 0.5000 0.5000 0.3246  5 Sn 3.12-3.28
4 Dy 0.5000 0.5000 0.6754  5 Sn 3.12-3.28
5 Er 0.0000 0.5000 0.0000  4 Sn 3.21, 4 Er 3.22
6 Er 0.0000 0.5000 0.5000  4 Sn 3.21, 4 Er 3.22
7 Er 0.5000 0.0000 0.0000  4 Sn 3.21, 4 Er 3.22
8 Er 0.5000 0.0000 0.5000  4 Sn 3.21, 4 Er 3.22
9 Sn 0.0000 0.0000 0.3634  5 Dy 3.12-3.28, 4 Er 3.21
10 Sn 0.0000 0.0000 0.6366  5 Dy 3.12-3.28, 4 Er 3.21
11 Sn 0.5000 0.5000 0.1366  5 Dy 3.12-3.28, 4 Er 3.21
12 Sn 0.5000 0.5000 0.8634  5 Dy 3.12-3.28, 4 Er 3.21

## Properties
Its crystal system is tetragonal. The formation energy is -0.58 eV per atom. The volume is 343 Å³/cell. Its energy above the most stable polymorph in this dataset is 0.0 kJ/mol of atoms.


Record 8
The following is a PBE calculation of a relaxed structure of LaYTl2, from Alexandria.

a b c (Å): 7.1279 8.9787 3.6596
angles (deg): 90.00 90.00 90.00
Closest atoms and distances in Å follow each position.
Fractional positions:
1 La 0.0000 0.0000 0.0000  8 Tl 3.40, 2 Y 3.56, 2 La 3.66
2 La 0.5000 0.5000 0.0000  8 Tl 3.40, 2 Y 3.56, 2 La 3.66
3 Y 0.0000 0.5000 0.0000  8 Tl 3.40, 2 La 3.56, 2 Y 3.66
4 Y 0.5000 0.0000 0.0000  8 Tl 3.40, 2 La 3.56, 2 Y 3.66
5 Tl 0.2500 0.2500 0.5000  4 La 3.40, 4 Y 3.40, 4 Tl 3.56-3.66
6 Tl 0.2500 0.7500 0.5000  4 La 3.40, 4 Y 3.40, 4 Tl 3.56-3.66
7 Tl 0.7500 0.2500 0.5000  4 La 3.40, 4 Y 3.40, 4 Tl 3.56-3.66
8 Tl 0.7500 0.7500 0.5000  4 Y 3.40, 4 La 3.40, 4 Tl 3.56-3.66

## Properties
Its crystal system is orthorhombic. The formation energy is -0.38 eV per atom. The volume is 234 Å³/cell.


Record 9
The following is a PBE calculation of a relaxed structure of MgAg2, from Alexandria.

a b c (Å): 3.0503 3.0503 6.9055
angles (deg): 90.00 90.00 120.00
Closest atoms and distances in Å follow each position.
Fractional positions:
1 Mg 0.0000 0.0000 0.0000  6 Ag 2.87, 6 Mg 3.05
2 Ag 0.3333 0.6667 0.6713  3 Mg 2.87, 9 Ag 2.95-3.05
3 Ag 0.6667 0.3333 0.3287  3 Mg 2.87, 9 Ag 2.95-3.05

## Properties
Its crystal system is trigonal. The formation energy is -0.06 eV per atom. The volume is 56 Å³/cell. Its energy above the most stable polymorph in this dataset is 10.9 kJ/mol of atoms.


Record 10
The following is a PBE calculation of a relaxed structure of Tm2BeSi3, from Alexandria.

a b c (Å): 3.9261 3.9397 6.7187
angles (deg): 90.00 90.00 90.00
Closest atoms and distances in Å follow each position.
Fractional positions:
1 Tm 0.0000 0.0000 0.0000  8 Si 2.91-2.99, 4 Be 3.01
2 Tm 0.5000 0.0000 0.4992  2 Be 2.95, 10 Si 2.99-3.07
3 Be 0.5000 0.5000 0.1727  3 Si 2.18-2.19
4 Si 0.0000 0.5000 0.3189  2 Be 2.19, 1 Si 2.32
5 Si 0.0000 0.5000 0.6643  3 Si 2.32
6 Si 0.5000 0.5000 0.8487  1 Be 2.18, 2 Si 2.32

## Properties
Its crystal system is orthorhombic. The value obtained for the uncorrected formation energy is -0.624 eV per atom. The volume is 104 Å³/cell. Its energy above the most stable polymorph in this dataset is 1.6 kJ/mol of atoms.


Record 11
The following is a PBE calculation of a relaxed structure of TeP2Ir, from Alexandria.

a b c (Å): 4.5739 4.5739 6.5166
angles (deg): 90.00 90.00 90.00
Closest atoms and distances in Å follow each position.
Fractional positions:
1 Te 0.0000 0.0000 0.0000  4 Ir 2.81, 4 P 2.81
2 Te 0.5000 0.5000 0.5000  4 Ir 2.81, 4 P 2.81
3 P 0.0000 0.0000 0.5000  4 Ir 2.81, 4 P 2.81
4 P 0.0000 0.5000 0.7500  4 Te 2.81, 4 P 2.81
5 P 0.5000 0.0000 0.2500  4 Te 2.81, 4 P 2.81
6 P 0.5000 0.5000 0.0000  4 Ir 2.81, 4 P 2.81
7 Ir 0.0000 0.5000 0.2500  4 Te 2.81, 4 P 2.81
8 Ir 0.5000 0.0000 0.7500  4 Te 2.81, 4 P 2.81

## Properties
Its crystal system is tetragonal. The value obtained for the uncorrected formation energy is 0.657 eV per atom. The volume is 136 Å³/cell.


> Among the records above, which one has the highest volume?

DyErSn


> Which of these has the lowest volume?

MgAg2


> volume of number 11 (TeP2Ir)?

136 Å³/cell